Record 1
# LaPPbCl2, relaxed, DFT PBE
data_LaPPbCl2
_chemical_formula_sum 'La1 P1 Pb1 Cl2'
_cell_length_a 5.3101
_cell_length_b 5.3101
_cell_length_c 5.5786
_cell_angle_alpha 90.00
_cell_angle_beta 90.00
_cell_angle_gamma 90.00
_symmetry_space_group_name_H-M 'P 4/m m m'
_symmetry_Int_Tables_number 123
_symmetry_space_group_name_Hall '-P 4 2'
loop_
_atom_site_label
_atom_site_fract_x
_atom_site_fract_y
_atom_site_fract_z
La1 0.0000 0.0000 0.0000
P1 0.5000 0.5000 0.0000
Pb1 0.5000 0.5000 0.5000
Cl1 0.0000 0.5000 0.5000
# Energy above the most stable polymorph in this dataset, eV/atom: 0.3141


Record 2
# RuW2Br, relaxed, DFT PBE
data_RuW2Br
_chemical_formula_sum 'Ru2 W4 Br2'
_cell_length_a 9.8806
_cell_length_b 3.0261
_cell_length_c 4.4889
_cell_angle_alpha 90.00
_cell_angle_beta 93.04
_cell_angle_gamma 90.00
_symmetry_space_group_name_H-M 'C 1 2/m 1'
_symmetry_Int_Tables_number 12
_symmetry_space_group_name_Hall '-C 2y'
loop_
_atom_site_label
_atom_site_fract_x
_atom_site_fract_y
_atom_site_fract_z
Ru1 0.0000 0.0000 0.0000
W1 0.2232 0.5000 0.2202
Br1 0.0000 0.5000 0.5000
# Energy above the most stable polymorph in this dataset, eV/atom: 0.3555


Number 1: total magnetic moment 0.32 Bohr magnetons per cell, raw formation energy -0.52 eV/atom, energy -20.36 eV per cell. Number 2: total magnetic moment 0.00 Bohr magnetons per cell, raw formation energy 0.85 eV/atom, energy -66.95 eV per cell.